Entry from Alexandria: a geometry-optimized Pr2IF structure (PBE-GGA).

Structure (POSCAR):
```
Pr2IF
1.0
-2.515 2.585 1.358
-3.621 -1.062 0.782
0.136 -1.350 8.287
I Pr F
1 2 1
Cartesian
-3.000 0.086 5.214
-1.639 0.162 2.124
-4.361 0.011 8.305
0.000 0.000 0.000
```

Calculated values
Its final energy is -4.76 eV per atom. The value obtained for the total moment is 0.0 Bohr magnetons per cell. The value obtained for the uncorrected formation energy is -1.515 eV per atom.